Record 1
DFT (PBE-GGA) results for a relaxed La2TbHoAs4 crystal.

Calculated values
The formation energy comes out at -1.544 eV/atom. The total magnetic moment is 0.0 μB/cell. The crystal system is monoclinic.

abc: 7.3510 4.2518 7.3595
angles: 90.00 109.48 90.00
With the nearest neighbours (Å) after each atom.
Space group P2/m (No. 10)
Unique sites:
La  0.0000  0.0000  0.0000 [1 per cell]  6 As 3.05
La  0.0000  0.5000  0.5000 [1 per cell]  6 As 3.06
Tb  0.5000  0.0000  0.5000 [1 per cell]  6 As 2.96
Ho  0.5000  0.5000  0.0000 [1 per cell]  6 As 2.94-2.95
As  0.2631  0.5000  0.2532 [2 per cell]  1 Ho 2.94, 2 Tb 2.96, 3 La 3.05-3.06
As  0.2637  0.0000  0.7556 [2 per cell]  2 Ho 2.95, 1 Tb 2.96, 3 La 3.05-3.06

Record 2
DFT (PBE-GGA) results for a relaxed Ag2Ge2N crystal.

Calculated values
The value obtained for the relative energy among the computed polymorphs is 0.310 eV/atom. The total magnetic moment is 2.7 μB/cell. The crystal system is tetragonal.

abc: 3.5537 3.5537 14.4289
angles: 90.00 90.00 90.00
With the nearest neighbours (Å) after each atom.
Space group I4/mmm (No. 139)
Unique sites:
Ag  0.0000  0.0000  0.0919 [4 per cell]  1 Ag 2.65, 4 N 2.84, 4 Ge 2.89
Ge  0.0000  0.5000  0.2500 [4 per cell]  4 Ge 2.51
N  0.0000  0.0000  0.5000 [2 per cell]  8 Ag 2.84

Record 3
DFT (PBE-GGA) results for a relaxed Ho3Pa4C8 crystal.

Calculated values
The formation energy comes out at -0.005 eV/atom. The total magnetic moment is 0.0 μB/cell. The crystal system is monoclinic.

abc: 10.0358 10.1454 7.1098
angles: 90.00 134.41 90.00
With the nearest neighbours (Å) after each atom.
Space group C2/m (No. 12)
Unique sites:
Ho  0.0000  0.0000  0.0000 [2 per cell]  6 C 2.60-2.62
Ho  0.2500  0.2500  0.0000 [4 per cell]  6 C 2.51-2.55
Pa  0.0000  0.0000  0.5000 [2 per cell]  6 C 2.26-2.35
Pa  0.0000  0.5000  0.0000 [2 per cell]  6 C 2.45-2.47
Pa  0.2500  0.2500  0.5000 [4 per cell]  6 C 2.52-2.54
C  0.0000  0.2304  0.5000 [4 per cell]  3 Pa 2.34-2.52, 2 Ho 2.55
C  0.0000  0.2566  0.0000 [4 per cell]  3 Pa 2.47-2.54, 3 Ho 2.51-2.60
C  0.2298  0.0000  0.9448 [4 per cell]  2 Pa 2.26-2.45
C  0.2414  0.0000  0.5144 [4 per cell]  4 Pa 2.35-2.54, 1 Ho 2.62

Record 4
DFT (PBE-GGA) results for a relaxed LiAcMgHg3 crystal.

Calculated values
The formation energy comes out at -0.239 eV/atom. The total magnetic moment is 0.0 μB/cell. The crystal system is orthorhombic.

abc: 6.9068 13.0345 6.7974
angles: 90.00 90.00 90.00
With the nearest neighbours (Å) after each atom.
Space group Cmcm (No. 63)
Unique sites:
Li  0.0000  0.0479  0.2500 [4 per cell]  5 Hg 2.62-2.71
Ac  0.0000  0.2947  0.2500 [4 per cell]  1 Li 3.22, 6 Hg 3.50-3.53, 2 Mg 3.54
Mg  0.0000  0.3706  0.7500 [4 per cell]  5 Hg 2.74-2.86
Hg  0.0000  0.1604  0.7500 [4 per cell]  1 Li 2.71, 1 Mg 2.74
Hg  0.2266  0.5000  0.0000 [8 per cell]  2 Li 2.62, 2 Mg 2.86

Record 5
DFT (PBE-GGA) results for a relaxed CePrMgPb crystal.

Calculated values
The formation energy comes out at -0.240 eV/atom. The total magnetic moment is 5.2 μB/cell. The crystal system is cubic.

abc: 7.8166 7.8166 7.8166
angles: 90.00 90.00 90.00
With the nearest neighbours (Å) after each atom.
Space group F-43m (No. 216)
Unique sites:
Ce  0.0000  0.0000  0.0000 [4 per cell]  4 Pb 3.38, 4 Mg 3.38
Pr  0.0000  0.0000  0.5000 [4 per cell]  4 Pb 3.38, 4 Mg 3.38
Mg  0.2500  0.2500  0.2500 [4 per cell]  4 Ce 3.38, 4 Pr 3.38
Pb  0.2500  0.2500  0.7500 [4 per cell]  4 Ce 3.38, 4 Pr 3.38

Record 6
DFT (PBE-GGA) results for a relaxed Ba2LaPb crystal.

Calculated values
The formation energy comes out at -0.014 eV/atom. The total magnetic moment is 2.9 μB/cell. The crystal system is trigonal.

abc: 4.0948 4.0948 37.2726
angles: 90.00 90.00 120.00
With the nearest neighbours (Å) after each atom.
Space group R-3m (No. 166, hexagonal axes)
Unique sites:
Ba  0.0000  0.0000  0.2406 [6 per cell]  3 Pb 3.63
La  0.0000  0.0000  0.0000 [3 per cell]  6 La 4.09, 6 Ba 4.19
Pb  0.0000  0.0000  0.5000 [3 per cell]  6 Ba 3.63

| no. | total energy (hartree per atom) |
| --- | --- |
| 1 | -0.230 |
| 2 | -0.129 |
| 3 | -0.308 |
| 4 | -0.061 |
| 5 | -0.156 |
| 6 | -0.115 |